Here is crystalline Mg2CuRu at its relaxed geometry from the Alexandria database. Energies are from PBE.

Lattice parameters (Å, degrees): 3.2770 3.1926 5.9235 90.00 90.10 90.00
Space group P2/m (No. 10)
Symmetry-distinct sites (fractional):
1 Mg 0.0002 0.0000 0.2426
2 Cu 0.5000 0.5000 0.5000
3 Ru 0.5000 0.5000 0.0000

Summary:
For the total moment, the calculation gives 0.000 μB per atom. For the formation enthalpy at 0 K, the calculation gives 19 meV per atom.

---

Here is crystalline MgCuRu2 at its relaxed geometry from the Alexandria database. Energies are from PBE.

Lattice parameters (Å, degrees): 2.8467 2.8467 7.1430 90.00 90.00 90.00
Space group P4mm (No. 99)
Symmetry-distinct sites (fractional):
1 Mg 0.0000 0.0000 0.0000
2 Cu 0.5000 0.5000 0.7439
3 Ru 0.0000 0.0000 0.5005
4 Ru 0.5000 0.5000 0.2741

Summary:
For the total moment, the calculation gives 0.000 μB per atom. For the formation enthalpy at 0 K, the calculation gives 33 meV per atom.

---

Here is crystalline MgCuRu2 at its relaxed geometry from the Alexandria database. Energies are from PBE.

Lattice parameters (Å, degrees): 9.2077 2.7651 4.6103 90.00 102.35 90.00
Space group C2/m (No. 12)
Symmetry-distinct sites (fractional):
1 Mg 0.0000 0.0000 0.0000
2 Cu 0.0000 0.5000 0.5000
3 Ru 0.2397 0.0000 0.7395

Summary:
For the total moment, the calculation gives 0.000 μB per atom. For the formation enthalpy at 0 K, the calculation gives 189 meV per atom.

---

Here is crystalline Mg2CuRu2 at its relaxed geometry from the Alexandria database. Energies are from PBE.

Lattice parameters (Å, degrees): 6.5717 6.5717 3.5221 90.00 90.00 90.00
Space group P4/mbm (No. 127)
Symmetry-distinct sites (fractional):
1 Mg 0.1400 0.3600 0.0000
2 Cu 0.0000 0.0000 0.0000
3 Ru 0.1638 0.6638 0.5000

Summary:
The calculation puts the distance to the lowest polymorph of the same formula at 0.2485 eV/atom. For the total moment, the calculation gives 0.000 μB per atom. For the formation enthalpy at 0 K, the calculation gives 449 meV per atom.

---

Here is crystalline MgCu2Ru2 at its relaxed geometry from the Alexandria database. Energies are from PBE.

Lattice parameters (Å, degrees): 3.5350 3.5350 12.1549 90.00 90.00 90.00
Space group I4/mmm (No. 139)
Symmetry-distinct sites (fractional):
1 Mg 0.0000 0.0000 0.0000
2 Cu 0.0000 0.5000 0.2500
3 Ru 0.0000 0.0000 0.4014

Summary:
The calculation puts the distance to the lowest polymorph of the same formula at 0.1010 eV/atom. For the total moment, the calculation gives 0.000 μB per atom. For the formation enthalpy at 0 K, the calculation gives 455 meV per atom.

---

Here is crystalline Mg3CuRu at its relaxed geometry from the Alexandria database. Energies are from PBE.

Lattice parameters (Å, degrees): 4.8857 4.8857 4.8857 90.00 90.00 90.00
Space group Pm-3m (No. 221)
Symmetry-distinct sites (fractional):
1 Mg 0.0000 0.0000 0.5000
2 Cu 0.5000 0.5000 0.5000
3 Ru 0.0000 0.0000 0.0000

Summary:
The calculation puts the distance to the lowest polymorph of the same formula at 0.0000 eV/atom. For the total moment, the calculation gives 0.000 μB per atom. For the formation enthalpy at 0 K, the calculation gives 638 meV per atom.

---

Here is crystalline MgCuRu2 at its relaxed geometry from the Alexandria database. Energies are from PBE.

Lattice parameters (Å, degrees): 2.7426 2.7426 26.3444 90.00 90.00 120.00
Space group R-3m (No. 166, hexagonal axes)
Symmetry-distinct sites (fractional):
1 Mg 0.0000 0.0000 0.0000
2 Cu 0.0000 0.0000 0.5000
3 Ru 0.0000 0.0000 0.2470

Summary:
For the total moment, the calculation gives 0.000 μB per atom. For the formation enthalpy at 0 K, the calculation gives 235 meV per atom.

---

Here is crystalline MgCuRu at its relaxed geometry from the Alexandria database. Energies are from PBE.

Lattice parameters (Å, degrees): 5.8512 5.8512 5.8512 90.00 90.00 90.00
Space group F-43m (No. 216)
Symmetry-distinct sites (fractional):
1 Mg 0.0000 0.0000 0.0000
2 Cu 0.2500 0.2500 0.7500
3 Ru 0.0000 0.0000 0.5000

Summary:
The calculation puts the distance to the lowest polymorph of the same formula at 0.4379 eV/atom. For the total moment, the calculation gives 0.343 μB per atom. For the formation enthalpy at 0 K, the calculation gives 495 meV per atom.

---

Here is crystalline Mg2CuRu at its relaxed geometry from the Alexandria database. Energies are from PBE.

Lattice parameters (Å, degrees): 6.2628 6.2628 6.2628 90.00 90.00 90.00
Space group F-43m (No. 216)
Symmetry-distinct sites (fractional):
1 Mg 0.0000 0.0000 0.0000
2 Mg 0.2500 0.2500 0.2500
3 Cu 0.0000 0.0000 0.5000
4 Ru 0.2500 0.2500 0.7500

Summary:
For the total moment, the calculation gives 0.000 μB per atom. For the formation enthalpy at 0 K, the calculation gives 90 meV per atom.

---

Here is crystalline MgCuRu2 at its relaxed geometry from the Alexandria database. Energies are from PBE.

Lattice parameters (Å, degrees): 3.0239 4.3407 8.5855 90.00 90.00 90.00
Space group Imm2 (No. 44)
Symmetry-distinct sites (fractional):
1 Mg 0.0000 0.0000 0.0000
2 Cu 0.0000 0.5000 0.7468
3 Ru 0.0000 0.0000 0.4954
4 Ru 0.0000 0.5000 0.2401

Summary:
For the total moment, the calculation gives 0.000 μB per atom. For the formation enthalpy at 0 K, the calculation gives 184 meV per atom.

---

Here is crystalline MgCuRu2 at its relaxed geometry from the Alexandria database. Energies are from PBE.

Lattice parameters (Å, degrees): 7.2959 7.2959 4.8140 90.00 90.00 90.00
Space group I-42d (No. 122)
Symmetry-distinct sites (fractional):
1 Mg 0.0000 0.0000 0.0000
2 Cu 0.0000 0.0000 0.5000
3 Ru 0.2012 0.2500 0.6250

Summary:
For the total moment, the calculation gives 0.000 μB per atom. For the formation enthalpy at 0 K, the calculation gives 622 meV per atom.

---

Here is crystalline MgCuRu2 at its relaxed geometry from the Alexandria database. Energies are from PBE.

Lattice parameters (Å, degrees): 2.9061 4.4194 4.4521 90.00 90.00 90.00
Space group Pmmm (No. 47)
Symmetry-distinct sites (fractional):
1 Mg 0.0000 0.0000 0.0000
2 Cu 0.5000 0.5000 0.0000
3 Ru 0.0000 0.5000 0.5000
4 Ru 0.5000 0.0000 0.5000

Summary:
For the total moment, the calculation gives 0.000 μB per atom. For the formation enthalpy at 0 K, the calculation gives 197 meV per atom.